Compound: CsTlGaBi2
Source: Alexandria via LeMat-Bulk
Functional: meta-GGA SCAN
Structure: single point on PBEsol structure

Unit cell a=6.2899 b=6.2899 c=6.2056 alpha=90.00 beta=90.00 gamma=90.00
Fractional coordinates of all 5 atoms:
Cs: 0.0000 0.0000 0.0000
Tl: 0.0000 0.0000 0.5000
Bi: 0.0000 0.5000 0.0000
Bi: 0.5000 0.0000 0.0000
Ga: 0.5000 0.5000 0.5000

Symmetry ... P4/mmm
Calculated volume ... 49.10 Å³/atom
Fermi-level density of states ... 4.1 states/eV/cell
Raw total energy ... -55.53 eV per atom
ΔH_f (0 K) ... 116.3 kJ/mol of atoms